[1]
Computed, not measured: Na5Ac3In12 after structural relaxation at the PBE level of DFT.

Lattice parameters (Å, degrees): 16.6267 16.6267 16.6267 109.47 109.47 109.47
Element x y z (fractional)
Ac 0.7500 0.3750 0.1250
Ac 0.8750 0.7500 0.1250
Ac 0.3750 0.7500 0.6250
Ac 0.2500 0.1250 0.3750
Ac 0.8750 0.1250 0.2500
Ac 0.3750 0.6250 0.2500
Ac 0.6250 0.3750 0.7500
Ac 0.1250 0.8750 0.7500
Ac 0.7500 0.8750 0.6250
Ac 0.6250 0.2500 0.3750
Ac 0.1250 0.2500 0.8750
Ac 0.2500 0.6250 0.8750
Na 0.1250 0.3750 0.2500
Na 0.0000 0.5000 0.0000
Na 0.0000 0.0000 0.0000
Na 0.3750 0.2500 0.1250
Na 0.5000 0.0000 0.5000
Na 0.5000 0.5000 0.0000
Na 0.1250 0.7500 0.3750
Na 0.7500 0.1250 0.8750
Na 0.7500 0.6250 0.3750
Na 0.3750 0.1250 0.7500
Na 0.6250 0.8750 0.2500
Na 0.5000 0.5000 0.5000
Na 0.5000 0.0000 0.0000
Na 0.0000 0.0000 0.5000
Na 0.2500 0.3750 0.6250
Na 0.2500 0.8750 0.1250
Na 0.0000 0.5000 0.5000
Na 0.8750 0.2500 0.6250
Na 0.6250 0.7500 0.8750
Na 0.8750 0.6250 0.7500
In 0.7202 0.1529 0.0838
In 0.3636 0.5838 0.4309
In 0.9162 0.3471 0.2798
In 0.5838 0.2202 0.1529
In 0.5673 0.7202 0.6364
In 0.9162 0.5691 0.1364
In 0.3636 0.7798 0.4327
In 0.0691 0.9327 0.1529
In 0.5691 0.9162 0.6364
In 0.7202 0.5673 0.1364
In 0.7798 0.4162 0.3471
In 0.8636 0.9309 0.0838
In 0.1529 0.7202 0.5838
In 0.3471 0.4309 0.0673
In 0.0673 0.9309 0.3471
In 0.4327 0.1529 0.5691
In 0.0673 0.1364 0.2202
In 0.4162 0.6364 0.0691
In 0.8636 0.9327 0.2798
In 0.1529 0.4327 0.0691
In 0.3471 0.9162 0.7798
In 0.5691 0.6529 0.4327
In 0.9309 0.8636 0.5838
In 0.7798 0.3636 0.9327
In 0.4309 0.3471 0.5673
In 0.0691 0.1364 0.4162
In 0.2202 0.6364 0.0673
In 0.1364 0.0673 0.7202
In 0.6529 0.0838 0.2202
In 0.8471 0.5673 0.9309
In 0.5838 0.3636 0.9309
In 0.5673 0.8471 0.4309
In 0.9327 0.8636 0.7798
In 0.9327 0.0691 0.6529
In 0.8471 0.2798 0.4162
In 0.1364 0.0691 0.9162
In 0.6529 0.5691 0.9327
In 0.4309 0.0838 0.3636
In 0.2798 0.4327 0.8636
In 0.2202 0.5838 0.6529
In 0.9309 0.0673 0.8471
In 0.6364 0.2202 0.5673
In 0.4162 0.7798 0.8471
In 0.0838 0.4309 0.8636
In 0.4327 0.2798 0.3636
In 0.0838 0.6529 0.7202
In 0.6364 0.4162 0.5691
In 0.2798 0.8471 0.9162

Summary:
ΔE_f   16.4 kJ per mole of atoms
Total DFT energy (no corrections)   -2.4191 eV per atom
Theoretical density   4.081 g cm⁻³


[2]
Computed, not measured: LiCu2HgCl6 after structural relaxation at the PBE level of DFT.

Lattice parameters (Å, degrees): 6.4104 9.2991 9.2991 92.74 76.37 76.37
Last column: magnetic moment on the atom in μB.
Element x y z (fractional)
Li 0.2500 0.9807 0.0193  0.00
Li 0.7500 0.0193 0.9807  0.00
Cu 0.2062 0.7767 0.6349  0.36
Cu 0.2938 0.3651 0.2233  0.36
Cu 0.7938 0.2233 0.3651  0.36
Cu 0.7062 0.6349 0.7767  0.36
Hg 0.2500 0.2844 0.7156  0.00
Hg 0.7500 0.7156 0.2844  0.00
Cl 0.1006 0.9893 0.8024  0.03
Cl 0.3994 0.1976 0.0107  0.03
Cl 0.8994 0.0107 0.1976  0.03
Cl 0.6006 0.8024 0.9893  0.03
Cl 0.3843 0.8531 0.4112  0.02
Cl 0.1157 0.5888 0.1469  0.02
Cl 0.6157 0.1469 0.5888  0.02
Cl 0.8843 0.4112 0.8531  0.02
Cl 0.9110 0.7150 0.5800  0.09
Cl 0.5890 0.4200 0.2850  0.09
Cl 0.0890 0.2850 0.4200  0.09
Cl 0.4110 0.5800 0.7150  0.09

Summary:
Total DFT energy (no corrections)   -2.9240 eV per atom
Theoretical density   3.493 g cm⁻³
Raw formation energy   -775 meV per atom


[3]
Computed, not measured: ZrAlSi after structural relaxation at the PBE level of DFT.

Lattice parameters (Å, degrees): 6.6284 3.8855 9.8081 90.00 125.60 90.00
Element x y z (fractional)
Si 0.1773 0.0000 0.6440
Si 0.8227 0.0000 0.3560
Si 0.1773 0.5000 0.1440
Si 0.8227 0.5000 0.8560
Al 0.5852 0.0000 0.6625
Al 0.4148 0.0000 0.3375
Al 0.5852 0.5000 0.1625
Al 0.4148 0.5000 0.8375
Zr 0.1776 0.0000 0.9294
Zr 0.8224 0.0000 0.0706
Zr 0.1776 0.5000 0.4294
Zr 0.8224 0.5000 0.5706

Summary:
Total DFT energy (no corrections)   -6.4624 eV per atom
Theoretical density   4.731 g cm⁻³
Raw formation energy   -558 meV per atom


[4]
Computed, not measured: HfSc2PRh after structural relaxation at the PBE level of DFT.

Lattice parameters (Å, degrees): 5.2060 4.5981 5.2060 90.00 90.00 90.00
Element x y z (fractional)
Sc 0.0000 0.0000 0.5000
Sc 0.5000 0.0000 0.0000
Rh 0.0000 0.5000 0.0000
Hf 0.0000 0.0000 0.0000
P 0.5000 0.5000 0.5000

Summary:
ΔE_f   80.3 kJ per mole of atoms
Total DFT energy (no corrections)   -6.2434 eV per atom
Theoretical density   5.360 g cm⁻³


[5]
Computed, not measured: PaIn2F6 after structural relaxation at the PBE level of DFT.

Lattice parameters (Å, degrees): 4.8475 4.8475 15.7539 90.00 90.00 90.00
Last column: magnetic moment on the atom in μB.
Element x y z (fractional)
Pa 0.0000 0.0000 0.0000  0.18
Pa 0.5000 0.5000 0.5000  0.18
In 0.0000 0.0000 0.2608  0.00
In 0.5000 0.5000 0.7608  0.00
In 0.5000 0.5000 0.2392  0.00
In 0.0000 0.0000 0.7392  0.00
F 0.3005 0.3005 0.3936  0.00
F 0.6995 0.6995 0.3936  0.00
F 0.1995 0.8005 0.8936  0.00
F 0.8005 0.1995 0.8936  0.00
F 0.1995 0.8005 0.1064  0.00
F 0.8005 0.1995 0.1064  0.00
F 0.3005 0.3005 0.6064  0.00
F 0.6995 0.6995 0.6064  0.00
F 0.3018 0.3018 0.0000  0.00
F 0.6982 0.6982 0.0000  0.00
F 0.1982 0.8018 0.5000  0.00
F 0.8018 0.1982 0.5000  0.00

Summary:
Total DFT energy (no corrections)   -5.7350 eV per atom
Theoretical density   5.155 g cm⁻³
Raw formation energy   -2824 meV per atom


[6]
Computed, not measured: Ag2MoOs after structural relaxation at the PBE level of DFT.

Lattice parameters (Å, degrees): 9.8150 9.8150 9.8150 16.39 16.39 16.39
Element x y z (fractional)
Ag 0.0023 0.0023 0.0023
Ag 0.2482 0.2482 0.2482
Mo 0.4941 0.4941 0.4941
Os 0.7554 0.7554 0.7554

Summary:
ΔE_f   23.4 kJ per mole of atoms
Total DFT energy (no corrections)   -6.6981 eV per atom
Theoretical density   12.699 g cm⁻³


[7]
Computed, not measured: Li3Ac2CdGe4 after structural relaxation at the PBE level of DFT.

Lattice parameters (Å, degrees): 4.4221 4.4221 11.1036 90.00 90.00 90.00
Element x y z (fractional)
Li 0.0000 0.0000 0.5000
Li 0.5000 0.0000 0.8778
Li 0.0000 0.5000 0.1222
Ac 0.5000 0.0000 0.2411
Ac 0.0000 0.5000 0.7589
Cd 0.5000 0.5000 0.5000
Ge 0.5000 0.5000 0.0000
Ge 0.0000 0.0000 0.0000
Ge 0.5000 0.0000 0.6481
Ge 0.0000 0.5000 0.3519

Summary:
ΔE_f   -52.4 kJ per mole of atoms
Total DFT energy (no corrections)   -3.8770 eV per atom
Theoretical density   6.713 g cm⁻³


[8]
Computed, not measured: BaMnV3 after structural relaxation at the PBE level of DFT.

Lattice parameters (Å, degrees): 4.7253 4.7253 4.7253 90.00 90.00 90.00
Last column: magnetic moment on the atom in μB.
Element x y z (fractional)
Mn 0.0000 0.0000 0.0000  -1.52
Ba 0.5000 0.5000 0.5000  0.19
V 0.0000 0.5000 0.0000  1.95
V 0.0000 0.0000 0.5000  1.95
V 0.5000 0.0000 0.0000  1.95

Summary:
ΔE_f   80.1 kJ per mole of atoms
Total DFT energy (no corrections)   -6.8593 eV per atom
Theoretical density   5.431 g cm⁻³


[9]
Computed, not measured: NpGa2Ni2 after structural relaxation at the PBE level of DFT.

Lattice parameters (Å, degrees): 3.9879 3.9879 10.2792 90.00 90.00 90.00
Last column: magnetic moment on the atom in μB.
Element x y z (fractional)
Np 0.5000 0.0000 0.2479  3.67
Np 0.0000 0.5000 0.7521  3.67
Ga 0.0000 0.5000 0.3716  -0.01
Ga 0.5000 0.0000 0.6284  -0.01
Ga 0.5000 0.5000 0.0000  -0.02
Ga 0.0000 0.0000 0.0000  -0.02
Ni 0.5000 0.5000 0.5000  0.14
Ni 0.0000 0.0000 0.5000  0.14
Ni 0.0000 0.5000 0.1397  -0.11
Ni 0.5000 0.0000 0.8603  -0.11

Summary:
ΔE_f   -23.2 kJ per mole of atoms
Total DFT energy (no corrections)   -6.3523 eV per atom
Theoretical density   10.033 g cm⁻³


[10]
Computed, not measured: Cr2CuAs after structural relaxation at the PBE level of DFT.

Lattice parameters (Å, degrees): 3.1179 3.1179 5.4308 90.00 90.00 90.00
Last column: magnetic moment on the atom in μB.
Element x y z (fractional)
As 0.5000 0.5000 0.7516  0.03
Cr 0.0000 0.0000 0.0159  -1.21
Cr 0.5000 0.5000 0.2387  2.03
Cu 0.0000 0.0000 0.4938  0.07

Summary:
ΔE_f   16.4 kJ per mole of atoms
Total DFT energy (no corrections)   -6.8279 eV per atom
Theoretical density   7.626 g cm⁻³


[11]
Computed, not measured: Ba3Ac2TmTe6 after structural relaxation at the PBE level of DFT.

Lattice parameters (Å, degrees): 8.2154 8.2154 8.3737 99.46 99.46 119.92
Element x y z (fractional)
Ba 0.1732 0.8268 0.5000
Ba 0.8268 0.1732 0.5000
Ba 0.5000 0.5000 0.5000
Ac 0.3349 0.6651 0.0000
Ac 0.6651 0.3349 0.0000
Tm 0.0000 0.0000 0.0000
Te 0.9258 0.6112 0.7751
Te 0.7640 0.7640 0.2309
Te 0.0742 0.3888 0.2249
Te 0.6112 0.9258 0.7751
Te 0.2360 0.2360 0.7691
Te 0.3888 0.0742 0.2249

Summary:
Total DFT energy (no corrections)   -4.6758 eV per atom
Theoretical density   6.462 g cm⁻³
Raw formation energy   -1567 meV per atom


[12]
Computed, not measured: Er3Zn3Cu after structural relaxation at the PBE level of DFT.

Lattice parameters (Å, degrees): 4.4026 3.6053 9.7605 100.64 103.03 90.00
Element x y z (fractional)
Er 0.3112 0.8112 0.6225
Er 0.6937 0.1937 0.3875
Er 0.9960 0.9960 0.9920
Zn 0.1399 0.6399 0.2798
Zn 0.8609 0.3609 0.7218
Zn 0.5647 0.5647 0.1295
Cu 0.4335 0.4335 0.8669

Summary:
ΔE_f   -29.1 kJ per mole of atoms
Total DFT energy (no corrections)   -3.3885 eV per atom
Theoretical density   8.533 g cm⁻³